# 1
First-principles (PBE) data for a geometry-optimized CsCu2Te2S6 structure, as listed in the Alexandria database.

Results
As for the formation energy without anion corrections: -167 meV/atom. The electronic total energy is -41.94 eV/cell. The calculated volume is 34.60 A^3/atom. Its total moment is 0.0 μB/f.u. As for the density of states at the Fermi level: 8.27 states/eV/f.u.

Unit cell a=7.4474 b=10.9173 c=6.5755 alpha=127.07 beta=90.95 gamma=68.28
Last column: nearest neighbours and their distance in Å.
Sites, in units of the cell vectors:
1 Cs 0.5000 0.0000 0.5000  4 S 3.68-3.74
2 S 0.9252 0.1714 0.4276  1 Cu 2.17, 1 Te 2.39
3 S 0.3877 0.6575 0.9323  1 Cu 2.27, 1 Te 2.46
4 S 0.0552 0.3479 0.0787  1 Cu 2.27, 1 Te 2.46
5 S 0.6123 0.3425 0.0677  1 Cu 2.27, 1 Te 2.46
6 S 0.0748 0.8286 0.5724  1 Cu 2.17, 1 Te 2.39
7 S 0.9448 0.6521 0.9213  1 Cu 2.27, 1 Te 2.46
8 Te 0.7914 0.4208 0.8865  3 S 2.39-2.46
9 Te 0.2086 0.5792 0.1135  3 S 2.39-2.46
10 Cu 0.8660 0.2883 0.2431  3 S 2.17-2.27
11 Cu 0.1340 0.7117 0.7569  3 S 2.17-2.27

---

# 2
First-principles (PBE) data for a geometry-optimized CsCuTeS3 structure, as listed in the Alexandria database.

Results
As for the formation energy without anion corrections: -480 meV/atom. The electronic total energy is -93.41 eV/cell. The calculated volume is 33.97 A^3/atom. Its total moment is 0.0 μB/f.u. As for the density of states at the Fermi level: 0.00 states/eV/f.u.

Unit cell a=9.3420 b=9.3420 c=9.3420 alpha=90.00 beta=90.00 gamma=90.00
Last column: nearest neighbours and their distance in Å.
Sites, in units of the cell vectors:
1 S 0.6849 0.5232 0.1390  1 Cu 2.24, 1 Te 2.40
2 S 0.1849 0.9768 0.8610  1 Cu 2.24, 1 Te 2.40
3 S 0.0232 0.3610 0.3151  1 Cu 2.24, 1 Te 2.40
4 S 0.8610 0.1849 0.9768  1 Cu 2.24, 1 Te 2.40
5 S 0.1390 0.6849 0.5232  1 Cu 2.24, 1 Te 2.40
6 S 0.8151 0.4768 0.6390  1 Cu 2.24, 1 Te 2.40
7 S 0.9768 0.8610 0.1849  1 Cu 2.24, 1 Te 2.40
8 S 0.4768 0.6390 0.8151  1 Cu 2.24, 1 Te 2.40
9 S 0.5232 0.1390 0.6849  1 Cu 2.24, 1 Te 2.40
10 S 0.3151 0.0232 0.3610  1 Cu 2.24, 1 Te 2.40
11 S 0.3610 0.3151 0.0232  1 Cu 2.24, 1 Te 2.40
12 S 0.6390 0.8151 0.4768  1 Cu 2.24, 1 Te 2.40
13 Cs 0.4097 0.4097 0.4097  6 S 3.75-3.76, 1 Cu 3.85
14 Cs 0.9097 0.0903 0.5903  6 S 3.75-3.76, 1 Cu 3.85
15 Cs 0.5903 0.9097 0.0903  6 S 3.75-3.76, 1 Cu 3.85
16 Cs 0.0903 0.5903 0.9097  6 S 3.75-3.76, 1 Cu 3.85
17 Te 0.5710 0.4290 0.9290  3 S 2.40
18 Te 0.9290 0.5710 0.4290  3 S 2.40
19 Te 0.0710 0.0710 0.0710  3 S 2.40
20 Te 0.4290 0.9290 0.5710  3 S 2.40
21 Cu 0.6479 0.6479 0.6479  3 S 2.24
22 Cu 0.1479 0.8521 0.3521  3 S 2.24
23 Cu 0.3521 0.1479 0.8521  3 S 2.24
24 Cu 0.8521 0.3521 0.1479  3 S 2.24

---

# 3
First-principles (PBE) data for a geometry-optimized CsCu4Te2S structure, as listed in the Alexandria database.

Results
As for the formation energy without anion corrections: -247 meV/atom. The electronic total energy is -29.63 eV/cell. The calculated volume is 26.76 A^3/atom. Its total moment is 0.0 μB/f.u. As for the density of states at the Fermi level: 4.46 states/eV/f.u.

Unit cell a=5.9366 b=5.9366 c=7.2769 alpha=111.06 beta=111.06 gamma=96.83
Last column: nearest neighbours and their distance in Å.
Sites, in units of the cell vectors:
1 Te 0.7549 0.2549 0.5099  4 Cu 2.56-2.57
2 Te 0.2549 0.7549 0.5099  4 Cu 2.56-2.57
3 S 0.4988 0.4988 0.9976  4 Cu 2.21-2.28
4 Cu 0.5094 0.5094 0.6908  1 S 2.28
5 Cu 0.7939 0.4882 0.2821  1 S 2.21
6 Cu 0.1814 0.1814 0.6908  1 S 2.28
7 Cu 0.4882 0.7939 0.2821  1 S 2.21
8 Cs 0.0187 0.0187 0.0374  4 Cu 3.39-3.43

---

# 4
First-principles (PBE) data for a geometry-optimized Cs2Cu2TeS4 structure, as listed in the Alexandria database.

Results
As for the formation energy without anion corrections: -486 meV/atom. The electronic total energy is -33.92 eV/cell. The calculated volume is 25.46 A^3/atom. Its total moment is 0.0 μB/f.u. As for the density of states at the Fermi level: 1.98 states/eV/f.u.

Unit cell a=4.0392 b=7.7403 c=8.0260 alpha=108.26 beta=90.00 gamma=105.12
Last column: nearest neighbours and their distance in Å.
Sites, in units of the cell vectors:
1 Cu 0.3079 0.6159 0.0042  4 S 2.38-2.46, 2 Cu 2.65
2 Cu 0.6921 0.3841 0.9958  4 S 2.38-2.46, 2 Cu 2.65
3 S 0.4721 0.9442 0.2054  1 Cu 2.46, 2 Te 2.72
4 S 0.8073 0.6147 0.8459  3 Cu 2.38-2.40
5 S 0.1927 0.3853 0.1541  3 Cu 2.38-2.40
6 S 0.5279 0.0558 0.7946  1 Cu 2.46, 2 Te 2.72
7 Cs 0.1380 0.2761 0.5585  7 S 3.47-3.70, 1 Cu 3.65
8 Cs 0.8620 0.7239 0.4415  7 S 3.47-3.70, 1 Cu 3.65
9 Te 0.0000 0.0000 0.0000  6 S 2.72-2.74

---

# 5
First-principles (PBE) data for a geometry-optimized Cs2ThCu2S4 structure, as listed in the Alexandria database.

Results
As for the formation energy without anion corrections: -1220 meV/atom. The electronic total energy is -44.81 eV/cell. The calculated volume is 26.42 A^3/atom. Its total moment is 0.0 μB/f.u.

Unit cell a=4.1134 b=8.2197 c=7.7012 alpha=107.93 beta=105.49 gamma=90.00
Last column: nearest neighbours and their distance in Å.
Sites, in units of the cell vectors:
1 S 0.5226 0.7816 0.0452  1 Cu 2.36
2 S 0.8029 0.8534 0.6058  3 Cu 2.42-2.43
3 S 0.1971 0.1466 0.3942  3 Cu 2.42-2.43
4 S 0.4774 0.2184 0.9548  1 Cu 2.36
5 Cs 0.1416 0.5692 0.2831  7 S 3.44-3.82, 1 Cu 3.80
6 Cs 0.8584 0.4308 0.7169  7 S 3.44-3.82, 1 Cu 3.80
7 Cu 0.6768 0.9833 0.3537  4 S 2.36-2.43
8 Cu 0.3232 0.0167 0.6463  4 S 2.36-2.43
9 Th 0.0000 0.0000 0.0000  6 S 2.79-2.82

---

# 6
First-principles (PBE) data for a geometry-optimized Cs4Th3CuS8 structure, as listed in the Alexandria database.

Results
As for the formation energy without anion corrections: -1452 meV/atom. The electronic total energy is -86.02 eV/cell. The calculated volume is 30.54 A^3/atom. Its total moment is 0.0 μB/f.u. As for the density of states at the Fermi level: 5.55 states/eV/f.u.

Unit cell a=8.2620 b=9.4133 c=8.4142 alpha=116.68 beta=119.40 gamma=90.00
Last column: nearest neighbours and their distance in Å.
Sites, in units of the cell vectors:
1 S 0.7278 0.6889 0.4555  3 Th 2.85-2.86
2 S 0.2722 0.3111 0.5445  3 Th 2.85-2.86
3 S 0.2718 0.3244 0.0511  1 Cu 2.77, 2 Th 2.81-2.82
4 S 0.7593 0.3089 0.5185  2 Th 2.79, 1 Cu 3.02
5 S 0.2208 0.6756 0.9489  1 Cu 2.77, 2 Th 2.81-2.82
6 S 0.7282 0.6756 0.9489  1 Cu 2.77, 2 Th 2.81-2.82
7 S 0.7792 0.3244 0.0511  1 Cu 2.77, 2 Th 2.81-2.82
8 S 0.2407 0.6911 0.4815  2 Th 2.79, 1 Cu 3.02
9 Cs 0.0000 0.0000 0.0000  6 S 3.53
10 Cs 0.5000 0.0000 0.5000  6 S 3.46-3.60
11 Cs 0.0000 0.0000 0.5000  6 S 3.46-3.60
12 Cs 0.5000 0.0000 0.0000  6 S 3.39-3.56
13 Th 0.5000 0.5000 0.5000  6 S 2.79-2.85
14 Th 0.0000 0.5000 0.5000  6 S 2.79-2.85
15 Th 0.5000 0.5000 0.0000  6 S 2.81-2.86
16 Cu 0.0000 0.5000 0.0000  6 S 2.77-3.02

---

# 7
First-principles (PBE) data for a geometry-optimized Cs2ThCuS4 structure, as listed in the Alexandria database.

Results
As for the formation energy without anion corrections: -1081 meV/atom. The electronic total energy is -76.76 eV/cell. The calculated volume is 32.32 A^3/atom. Its total moment is 0.7 μB/f.u. As for the density of states at the Fermi level: 4.43 states/eV/f.u.

Unit cell a=8.1177 b=8.1177 c=8.3747 alpha=103.58 beta=103.58 gamma=93.79
Last column: nearest neighbours and their distance in Å.
Sites, in units of the cell vectors:
1 Cu 0.0000 0.0000 0.0000  2 S 2.21
2 Cu 0.5000 0.5000 0.5000  2 S 2.21
3 Th 0.0000 0.5000 0.5000  6 S 2.81-2.83
4 Th 0.0000 0.5000 0.0000  6 S 2.81-2.83
5 S 0.8573 0.2884 0.1707  2 Th 2.81-2.83, 1 Cu 2.90
6 S 0.8498 0.8017 0.0679  1 Cu 2.21
7 S 0.2116 0.6427 0.3293  2 Th 2.81-2.83, 1 Cu 2.90
8 S 0.7884 0.3573 0.6707  2 Th 2.81-2.83, 1 Cu 2.90
9 S 0.1502 0.1983 0.9321  1 Cu 2.21
10 S 0.6983 0.6502 0.4321  1 Cu 2.21
11 S 0.3017 0.3498 0.5679  1 Cu 2.21
12 S 0.1427 0.7116 0.8293  2 Th 2.81-2.83, 1 Cu 2.90
13 Cs 0.5000 0.0000 0.0000  4 S 3.35-3.39
14 Cs 0.5000 0.0000 0.5000  4 S 3.35-3.39
15 Cs 0.5000 0.5000 0.0000  6 S 3.47-3.64
16 Cs 0.0000 0.0000 0.5000  6 S 3.47-3.64

---

# 8
First-principles (PBE) data for a geometry-optimized CsThCuS4 structure, as listed in the Alexandria database.

Results
As for the formation energy without anion corrections: -1179 meV/atom. The electronic total energy is -74.26 eV/cell. The calculated volume is 26.79 A^3/atom. Its total moment is 0.0 μB/f.u. As for the density of states at the Fermi level: 0.02 states/eV/f.u.

Unit cell a=7.0713 b=5.4459 c=10.0749 alpha=90.00 beta=104.85 gamma=90.00
Last column: nearest neighbours and their distance in Å.
Sites, in units of the cell vectors:
1 Th 0.7201 0.7500 0.4392  6 S 2.68-2.96
2 Th 0.2799 0.2500 0.5608  6 S 2.68-2.96
3 S 0.9976 0.5451 0.6860  1 S 2.23, 1 Cu 2.36
4 S 0.5364 0.2500 0.8083  1 Cu 2.26
5 S 0.4019 0.7500 0.5596  1 Cu 2.33
6 S 0.9976 0.9549 0.6860  1 S 2.23, 1 Cu 2.36
7 S 0.0024 0.4549 0.3140  1 S 2.23, 1 Cu 2.36
8 S 0.5981 0.2500 0.4404  1 Cu 2.33
9 S 0.0024 0.0451 0.3140  1 S 2.23, 1 Cu 2.36
10 S 0.4636 0.7500 0.1917  1 Cu 2.26
11 Cu 0.7490 0.2500 0.6750  4 S 2.26-2.36
12 Cu 0.2510 0.7500 0.3250  4 S 2.26-2.36
13 Cs 0.2409 0.2500 0.0326  3 S 3.34-3.45
14 Cs 0.7591 0.7500 0.9674  3 S 3.34-3.45

---

# 9
First-principles (PBE) data for a geometry-optimized CsTiCu2S4 structure, as listed in the Alexandria database.

Results
As for the formation energy without anion corrections: -654 meV/atom. The electronic total energy is -38.69 eV/cell. The calculated volume is 23.20 A^3/atom. Its total moment is 0.0 μB/f.u. As for the density of states at the Fermi level: 7.22 states/eV/f.u.

Unit cell a=6.4441 b=6.4441 c=6.4441 alpha=121.21 beta=121.21 gamma=87.92
Last column: nearest neighbours and their distance in Å.
Sites, in units of the cell vectors:
1 Cs 0.5000 0.5000 0.0000  8 S 3.17-3.54
2 S 0.0251 0.0251 0.3811  1 Ti 2.29, 2 Cu 2.43
3 S 0.9749 0.3560 0.0000  1 Ti 2.29, 2 Cu 2.43
4 S 0.6440 0.6440 0.6189  1 Ti 2.29, 2 Cu 2.43
5 S 0.3560 0.9749 0.0000  1 Ti 2.29, 2 Cu 2.43
6 Cu 0.7500 0.2500 0.5000  4 S 2.43
7 Cu 0.2500 0.7500 0.5000  4 S 2.43
8 Ti 0.0000 0.0000 0.0000  4 S 2.29

---

# 10
First-principles (PBE) data for a geometry-optimized CsTlCuS2 structure, as listed in the Alexandria database.

Results
As for the formation energy without anion corrections: -499 meV/atom. The electronic total energy is -36.13 eV/cell. The calculated volume is 31.46 A^3/atom. Its total moment is 0.0 μB/f.u. As for the density of states at the Fermi level: 3.84 states/eV/f.u.

Unit cell a=5.1441 b=8.1319 c=7.9827 alpha=109.59 beta=90.00 gamma=90.00
Last column: nearest neighbours and their distance in Å.
Sites, in units of the cell vectors:
1 Cu 0.0000 0.0000 0.0000  2 S 2.16
2 Cu 0.0000 0.0000 0.5000  2 S 2.16
3 S 0.7439 0.7892 0.9980  1 Cu 2.16
4 S 0.2561 0.2108 0.0020  1 Cu 2.16
5 S 0.7439 0.2108 0.5020  1 Cu 2.16
6 S 0.2561 0.7892 0.4980  1 Cu 2.16
7 Cs 0.7610 0.5000 0.2500  6 S 3.57-3.62
8 Cs 0.2390 0.5000 0.7500  6 S 3.57-3.62
9 Tl 0.5925 0.0000 0.7500  2 S 2.77, 2 Cu 2.89
10 Tl 0.4075 0.0000 0.2500  2 S 2.77, 2 Cu 2.89

---

Repeat the ninth record exactly.
First-principles (PBE) data for a geometry-optimized CsTiCu2S4 structure, as listed in the Alexandria database.

Results
As for the formation energy without anion corrections: -654 meV/atom. The electronic total energy is -38.69 eV/cell. The calculated volume is 23.20 A^3/atom. Its total moment is 0.0 μB/f.u. As for the density of states at the Fermi level: 7.22 states/eV/f.u.

Unit cell a=6.4441 b=6.4441 c=6.4441 alpha=121.21 beta=121.21 gamma=87.92
Last column: nearest neighbours and their distance in Å.
Sites, in units of the cell vectors:
1 Cs 0.5000 0.5000 0.0000  8 S 3.17-3.54
2 S 0.0251 0.0251 0.3811  1 Ti 2.29, 2 Cu 2.43
3 S 0.9749 0.3560 0.0000  1 Ti 2.29, 2 Cu 2.43
4 S 0.6440 0.6440 0.6189  1 Ti 2.29, 2 Cu 2.43
5 S 0.3560 0.9749 0.0000  1 Ti 2.29, 2 Cu 2.43
6 Cu 0.7500 0.2500 0.5000  4 S 2.43
7 Cu 0.2500 0.7500 0.5000  4 S 2.43
8 Ti 0.0000 0.0000 0.0000  4 S 2.29

---

Repeat the sixth record exactly.
First-principles (PBE) data for a geometry-optimized Cs4Th3CuS8 structure, as listed in the Alexandria database.

Results
As for the formation energy without anion corrections: -1452 meV/atom. The electronic total energy is -86.02 eV/cell. The calculated volume is 30.54 A^3/atom. Its total moment is 0.0 μB/f.u. As for the density of states at the Fermi level: 5.55 states/eV/f.u.

Unit cell a=8.2620 b=9.4133 c=8.4142 alpha=116.68 beta=119.40 gamma=90.00
Last column: nearest neighbours and their distance in Å.
Sites, in units of the cell vectors:
1 S 0.7278 0.6889 0.4555  3 Th 2.85-2.86
2 S 0.2722 0.3111 0.5445  3 Th 2.85-2.86
3 S 0.2718 0.3244 0.0511  1 Cu 2.77, 2 Th 2.81-2.82
4 S 0.7593 0.3089 0.5185  2 Th 2.79, 1 Cu 3.02
5 S 0.2208 0.6756 0.9489  1 Cu 2.77, 2 Th 2.81-2.82
6 S 0.7282 0.6756 0.9489  1 Cu 2.77, 2 Th 2.81-2.82
7 S 0.7792 0.3244 0.0511  1 Cu 2.77, 2 Th 2.81-2.82
8 S 0.2407 0.6911 0.4815  2 Th 2.79, 1 Cu 3.02
9 Cs 0.0000 0.0000 0.0000  6 S 3.53
10 Cs 0.5000 0.0000 0.5000  6 S 3.46-3.60
11 Cs 0.0000 0.0000 0.5000  6 S 3.46-3.60
12 Cs 0.5000 0.0000 0.0000  6 S 3.39-3.56
13 Th 0.5000 0.5000 0.5000  6 S 2.79-2.85
14 Th 0.0000 0.5000 0.5000  6 S 2.79-2.85
15 Th 0.5000 0.5000 0.0000  6 S 2.81-2.86
16 Cu 0.0000 0.5000 0.0000  6 S 2.77-3.02